(1)
! GGA-PBE MnGaHg3, relaxed; values from VASP
&SYSTEM
  ibrav = 0, nat = 5, ntyp = 3
/
ATOMIC_SPECIES
Mn 54.94 Mn.upf
Ga 69.72 Ga.upf
Hg 200.59 Hg.upf
CELL_PARAMETERS angstrom
5.055 0.000 0.000
0.000 5.055 0.000
0.000 0.000 5.055
ATOMIC_POSITIONS crystal
Mn 0.000 0.000 0.000
Ga 0.500 0.500 0.500
Hg 0.000 0.000 0.500
Hg 0.000 0.500 0.000
Hg 0.500 0.000 0.000
! ΔE_f	0.495	eV per atom
! energy relative to the lowest polymorph listed for this composition	0.000	eV per atom

(2)
! GGA-PBE Mn2GaHg2, relaxed; values from VASP
&SYSTEM
  ibrav = 0, nat = 10, ntyp = 3
/
ATOMIC_SPECIES
Mn 54.94 Mn.upf
Ga 69.72 Ga.upf
Hg 200.59 Hg.upf
CELL_PARAMETERS angstrom
6.605 0.000 0.000
0.000 6.605 0.000
0.000 0.000 4.197
ATOMIC_POSITIONS crystal
Mn 0.148 0.352 0.000
Mn 0.352 0.852 0.000
Mn 0.648 0.148 0.000
Mn 0.852 0.648 0.000
Ga 0.000 0.000 0.000
Ga 0.500 0.500 0.000
Hg 0.159 0.659 0.500
Hg 0.341 0.159 0.500
Hg 0.659 0.841 0.500
Hg 0.841 0.341 0.500
! ΔE_f	0.277	eV per atom

> Among the records above, which one has the highest ΔE_f?

MnGaHg3

What did the second record say?
! GGA-PBE Mn2GaHg2, relaxed; values from VASP
&SYSTEM
  ibrav = 0, nat = 10, ntyp = 3
/
ATOMIC_SPECIES
Mn 54.94 Mn.upf
Ga 69.72 Ga.upf
Hg 200.59 Hg.upf
CELL_PARAMETERS angstrom
6.605 0.000 0.000
0.000 6.605 0.000
0.000 0.000 4.197
ATOMIC_POSITIONS crystal
Mn 0.148 0.352 0.000
Mn 0.352 0.852 0.000
Mn 0.648 0.148 0.000
Mn 0.852 0.648 0.000
Ga 0.000 0.000 0.000
Ga 0.500 0.500 0.000
Hg 0.159 0.659 0.500
Hg 0.341 0.159 0.500
Hg 0.659 0.841 0.500
Hg 0.841 0.341 0.500
! ΔE_f	0.277	eV per atom

> What is the ΔE_f in the first record?

0.495 eV per atom

> The lowest ΔE_f belongs to which entry?

Mn2GaHg2